Entry 1:
Material: GaFeCuPt
Method: DFT, GGA-PBE
State: relaxed

Computed properties:
The total energy comes out at -5.61 eV/atom.

Structure (POSCAR):
```
GaFeCuPt
1.0
-2.023 -0.362 -3.756
0.457 -3.554 -2.344
-3.275 -2.727 -0.414
Cu Ga Pt Fe
1 1 1 1
Cartesian
-1.210 -1.661 -1.628
-2.420 -3.322 -3.257
-3.631 -4.982 -4.885
0.000 0.000 0.000
```

=====

Entry 2:
Material: MnZnTe
Method: DFT, GGA-PBE
State: relaxed

Computed properties:
Its excess energy over the best structure of this formula in the dataset is 0.000 eV/atom. The value obtained for the formation energy (no corrections) is -0.10 eV per atom.

Structure (POSCAR):
```
MnZnTe
1.0
-6.396 0.783 6.329
0.984 -3.917 1.479
6.238 2.708 3.023
Mn Zn Te
4 4 4
Cartesian
3.564 2.548 4.378
0.937 -0.764 3.606
-1.323 1.030 3.608
2.288 0.425 5.859
2.217 3.081 6.687
-0.410 -0.232 5.914
0.909 1.873 4.356
-1.718 -1.440 3.584
-2.598 1.535 5.794
1.013 0.930 8.045
-0.009 0.512 1.362
3.602 -0.092 3.613
```

=====

Entry 3:
Material: MgAl2RuBr
Method: DFT, GGA-PBE
State: relaxed

Computed properties:
The value obtained for the formation energy (no corrections) is -0.05 eV per atom.

Structure (POSCAR):
```
MgAl2RuBr
1.0
-3.373 -2.348 2.335
2.666 0.617 4.471
-2.277 4.064 0.797
Ru Mg Al Br
1 1 2 1
Cartesian
0.000 0.000 0.000
1.333 0.309 2.235
-1.139 2.032 0.399
-1.686 -1.174 1.168
-1.492 1.167 3.802
```

=====

Entry 4:
Material: La2PrSn2Hg2
Method: DFT, GGA-PBE
State: relaxed

Computed properties:
The total energy comes out at -3.73 eV/atom.

Structure (POSCAR):
```
La2PrSn2Hg2
1.0
-1.657 2.134 4.238
-3.247 -2.456 2.948
5.585 -3.945 7.150
La Pr Sn Hg
2 1 2 2
Cartesian
2.721 -2.423 5.264
-2.040 -1.844 9.072
0.000 0.000 0.000
0.979 -3.449 11.060
-0.298 -0.818 3.276
-1.287 -1.268 6.096
1.968 -2.998 8.240
```